# SrNdCoO4 | Alexandria | GGA-PBEsol | relaxed
# - ΔE_f (raw) (eV/atom) = -2.42
# - offset from the most stable computed form (meV per atom) = 16
# - N(E_F) (states/eV per atom) = 0.542
# - energy (Ha/atom) = -0.2766
data_SrNdCoO4
_cell_length_a 5.299
_cell_length_b 12.115
_cell_length_c 5.311
_cell_angle_alpha 90.00
_cell_angle_beta 90.00
_cell_angle_gamma 90.00
_symmetry_space_group_name_H-M 'C m c m'
_symmetry_Int_Tables_number 63
_symmetry_space_group_name_Hall '-C 2c 2'
loop_
_atom_site_label
_atom_site_fract_x
_atom_site_fract_y
_atom_site_fract_z
Sr1 0.000 0.105 0.250
Nd1 0.000 0.384 0.250
Co1 0.000 0.251 0.750
O1 0.000 0.093 0.750
O2 0.000 0.421 0.750
O3 0.250 0.250 0.000

=====

# TiAl4Ni15 | Alexandria | GGA-PBEsol | relaxed
# - calculated formation energy (eV/atom) = -0.463
# - N(E_F) (states/eV per atom) = 1.031
# - energy (Ha/atom) = -0.2321
data_TiAl4Ni15
_cell_length_a 3.529
_cell_length_b 3.529
_cell_length_c 17.561
_cell_angle_alpha 90.00
_cell_angle_beta 90.00
_cell_angle_gamma 90.00
_symmetry_space_group_name_H-M 'P 4/m m m'
_symmetry_Int_Tables_number 123
_symmetry_space_group_name_Hall '-P 4 2'
loop_
_atom_site_label
_atom_site_fract_x
_atom_site_fract_y
_atom_site_fract_z
Ti1 0.000 0.000 0.000
Al1 0.000 0.000 0.202
Al2 0.000 0.000 0.400
Ni1 0.000 0.500 0.101
Ni2 0.000 0.500 0.300
Ni3 0.000 0.500 0.500
Ni4 0.500 0.500 0.000
Ni5 0.500 0.500 0.201
Ni6 0.500 0.500 0.400

=====

# Sc5Pb | Alexandria | GGA-PBEsol | relaxed
# - calculated formation energy (eV/atom) = -0.161
# - N(E_F) (states/eV per atom) = 1.740
# - energy (Ha/atom) = -0.2327
data_Sc5Pb
_cell_length_a 5.5998
_cell_length_b 5.5998
_cell_length_c 5.0982
_cell_angle_alpha 90.00
_cell_angle_beta 90.00
_cell_angle_gamma 120.00
_symmetry_space_group_name_H-M 'P -6 2 m'
_symmetry_Int_Tables_number 189
_symmetry_space_group_name_Hall 'P -6 -2'
loop_
_atom_site_label
_atom_site_fract_x
_atom_site_fract_y
_atom_site_fract_z
Sc1 0.0000 0.3222 0.0000
Sc2 0.3333 0.6667 0.5000
Pb1 0.0000 0.0000 0.5000

=====

Copy entry 2 word for word.
# TiAl4Ni15 | Alexandria | GGA-PBEsol | relaxed
# - calculated formation energy (eV/atom) = -0.463
# - N(E_F) (states/eV per atom) = 1.031
# - energy (Ha/atom) = -0.2321
data_TiAl4Ni15
_cell_length_a 3.529
_cell_length_b 3.529
_cell_length_c 17.561
_cell_angle_alpha 90.00
_cell_angle_beta 90.00
_cell_angle_gamma 90.00
_symmetry_space_group_name_H-M 'P 4/m m m'
_symmetry_Int_Tables_number 123
_symmetry_space_group_name_Hall '-P 4 2'
loop_
_atom_site_label
_atom_site_fract_x
_atom_site_fract_y
_atom_site_fract_z
Ti1 0.000 0.000 0.000
Al1 0.000 0.000 0.202
Al2 0.000 0.000 0.400
Ni1 0.000 0.500 0.101
Ni2 0.000 0.500 0.300
Ni3 0.000 0.500 0.500
Ni4 0.500 0.500 0.000
Ni5 0.500 0.500 0.201
Ni6 0.500 0.500 0.400

=====

Q: Among the records above, which one has the lowest N(E_F)?
A: SrNdCoO4

=====

Q: Which value of N(E_F) does entry 1 give?
A: 0.542 states/eV per atom